A relaxed structure of GeRh2Pb. Source: Alexandria, functional PBE-GGA.

Output
E_tot = -5.938 eV per atom
Volume = 69.11 Å³ per cell
N(E_F) = 2.7 states/eV/f.u.
Magnetization = 0.00 μB/f.u.
SG = P4/mmm (123)

```
GeRh2Pb
1.0
3.090 0.000 0.000
0.000 3.090 0.000
0.000 0.000 7.237
Ge Rh Pb
1 2 1
direct
0.000 0.000 0.000
0.500 0.500 0.195
0.500 0.500 0.805
0.000 0.000 0.500
```